Material: TlCrSe2
Method: DFT, PBEsol
State: optimized geometry

Cell: 7.046 7.046 7.046 Å, 148.53 148.53 45.10°
Fractional coordinates of all 4 atoms:
Tl 0.000 0.000 0.000
Cr 0.750 0.250 0.500
Se 0.250 0.750 0.500
Se 0.500 0.500 0.000

Calculated values
**Formation energy (no corrections)**: 188 meV per atom
**SG**: I-4m2, No. 119
**DFT total energy**: -4.95 eV/atom
**DOS(E_F)**: 2.93 states/eV/cell